# 1
## MgZn4 (PBE)

Data for an optimized crystal structure of MgZn4.

Properties
The value obtained for the final energy is -1.371 eV per atom. The space group is Cmcm, No. 63. For the formation energy, the calculation gives -0.033 eV/atom. As for the relative energy among the computed polymorphs: 0.0 meV/atom.

Cell lengths 4.3585, 5.7847, 6.8275 Å; angles 90.00, 108.61, 90.00 degrees
Positions (direct):
Mg 0.4017 0.2500 0.8033
Mg 0.5983 0.7500 0.1967
Zn 0.8021 0.5040 0.6042
Zn 0.1979 0.0040 0.3958
Zn 0.0000 0.5000 0.0000
Zn 0.8021 0.9960 0.6042
Zn 0.1979 0.4960 0.3958
Zn 0.6208 0.2500 0.2416
Zn 0.3792 0.7500 0.7584
Zn 0.0000 0.0000 0.0000

# 2
## Ba2TmCd (PBE)

Data for an optimized crystal structure of Ba2TmCd.

Properties
The value obtained for the final energy is -2.015 eV per atom. The space group is R-3m, No. 166. For the formation energy, the calculation gives 0.293 eV/atom.

Cell lengths 3.8046, 3.8046, 13.0647 Å; angles 81.63, 81.63, 60.00 degrees
Positions (direct):
Ba 0.9076 0.9076 0.2771
Ba 0.0924 0.0924 0.7229
Tm 0.0000 0.0000 0.0000
Cd 0.5000 0.5000 0.5000

# 3
## La2Pm6Er5 (PBE)

Data for an optimized crystal structure of La2Pm6Er5.

Properties
The value obtained for the final energy is -4.604 eV per atom. The space group is Pbam, No. 55. For the formation energy, the calculation gives 0.101 eV/atom.

Cell lengths 3.6478, 11.8519, 20.4615 Å; angles 90.00, 90.00, 90.00 degrees
Positions (direct):
Pm 0.5000 0.8221 0.3765
Pm 0.0000 0.5795 0.1362
Pm 0.5000 0.6779 0.8765
Pm 0.5000 0.1779 0.6235
Pm 0.0000 0.4411 0.5762
Pm 0.0000 0.9205 0.6362
Pm 0.5000 0.3221 0.1235
Pm 0.0000 0.5589 0.4238
Pm 0.0000 0.0589 0.0762
Pm 0.0000 0.9411 0.9238
Pm 0.0000 0.4205 0.8638
Pm 0.0000 0.0795 0.3638
Er 0.5000 0.8001 0.0546
Er 0.5000 0.3001 0.4454
Er 0.5000 0.4043 0.7206
Er 0.5000 0.0000 0.5000
Er 0.5000 0.5957 0.2794
Er 0.5000 0.6999 0.5546
Er 0.5000 0.5000 0.0000
Er 0.5000 0.0957 0.2206
Er 0.5000 0.9043 0.7794
Er 0.5000 0.1999 0.9454
La 0.0000 0.3341 0.2819
La 0.0000 0.1659 0.7819
La 0.0000 0.6659 0.7181
La 0.0000 0.8341 0.2181

# 4
## MnAl4Ru (PBE)

Data for an optimized crystal structure of MnAl4Ru.

Properties
The value obtained for the final energy is -5.519 eV per atom. The space group is F-43m, No. 216. For the formation energy, the calculation gives 0.050 eV/atom.

Cell lengths 5.0190, 5.0190, 5.0190 Å; angles 60.00, 60.00, 60.00 degrees
Positions (direct):
Ru 0.0000 0.0000 0.0000
Al 0.3750 0.3750 0.8749
Al 0.3750 0.3750 0.3750
Al 0.3750 0.8749 0.3750
Al 0.8749 0.3750 0.3750
Mn 0.7500 0.7500 0.7500

- Number 1 is which compound?
  MgZn4